# Ba2CrSb meta-GGA SCAN single point on PBEsol structure
# Formation energy from raw total energies, eV/f.u.: -1.13
# Density of states at the Fermi level, states/eV/atom: 0.45
# Space-group type: Pmmm (47)
data_Ba2CrSb
_chemical_formula_sum 'Ba2 Cr1 Sb1'
_space_group_name_H-M_alt 'P 1'
_space_group_IT_number 1
_cell_length_a 4.073
_cell_length_b 4.398
_cell_length_c 8.029
_cell_angle_alpha 90.00
_cell_angle_beta 90.00
_cell_angle_gamma 90.00
loop_
_space_group_symop_operation_xyz
'x,y,z'
loop_
_atom_site_label
_atom_site_type_symbol
_atom_site_fract_x
_atom_site_fract_y
_atom_site_fract_z
Ba1 Ba 0.000 0.000 0.732
Ba2 Ba 0.000 0.000 0.268
Cr1 Cr 0.500 0.500 0.000
Sb1 Sb 0.500 0.500 0.500

# CdRuRh2 meta-GGA SCAN single point on PBEsol structure
# Energy of formation from the pure elements, meV/atom: -14.3
# Density of states at the Fermi level, states/eV/atom: 0.66
# Space-group type: P4/mmm (123)
data_CdRuRh2
_chemical_formula_sum 'Cd1 Ru1 Rh2'
_space_group_name_H-M_alt 'P 1'
_space_group_IT_number 1
_cell_length_a 2.744
_cell_length_b 2.744
_cell_length_c 7.736
_cell_angle_alpha 90.00
_cell_angle_beta 90.00
_cell_angle_gamma 90.00
loop_
_space_group_symop_operation_xyz
'x,y,z'
loop_
_atom_site_label
_atom_site_type_symbol
_atom_site_fract_x
_atom_site_fract_y
_atom_site_fract_z
Ru1 Ru 0.500 0.500 0.000
Rh1 Rh 0.000 0.000 0.772
Rh2 Rh 0.000 0.000 0.228
Cd1 Cd 0.500 0.500 0.500

# Cs2PtPb meta-GGA SCAN single point on PBEsol structure
# Energy of formation from the pure elements, meV/atom: -203.5
# Density of states at the Fermi level, states/eV/atom: 0.46
# Space-group type: I-42d (122)
data_Cs2PtPb
_chemical_formula_sum 'Cs4 Pt2 Pb2'
_space_group_name_H-M_alt 'P 1'
_space_group_IT_number 1
_cell_length_a 5.163
_cell_length_b 9.240
_cell_length_c 9.240
_cell_angle_alpha 85.52
_cell_angle_beta 73.78
_cell_angle_gamma 73.78
loop_
_space_group_symop_operation_xyz
'x,y,z'
loop_
_atom_site_label
_atom_site_type_symbol
_atom_site_fract_x
_atom_site_fract_y
_atom_site_fract_z
Pb1 Pb 0.750 0.500 0.500
Pb2 Pb 0.000 0.000 0.000
Cs1 Cs 0.280 0.845 0.345
Cs2 Cs 0.470 0.155 0.655
Cs3 Cs 0.375 0.345 0.155
Cs4 Cs 0.875 0.655 0.845
Pt1 Pt 0.250 0.500 0.500
Pt2 Pt 0.500 0.000 0.000

Q: Which of these has the highest density of states at the Fermi level?
A: CdRuRh2

Q: Among the records above, which one has the lowest density of states at the Fermi level?
A: Ba2CrSb

Please write out number 2 again, unchanged.
# CdRuRh2 meta-GGA SCAN single point on PBEsol structure
# Energy of formation from the pure elements, meV/atom: -14.3
# Density of states at the Fermi level, states/eV/atom: 0.66
# Space-group type: P4/mmm (123)
data_CdRuRh2
_chemical_formula_sum 'Cd1 Ru1 Rh2'
_space_group_name_H-M_alt 'P 1'
_space_group_IT_number 1
_cell_length_a 2.744
_cell_length_b 2.744
_cell_length_c 7.736
_cell_angle_alpha 90.00
_cell_angle_beta 90.00
_cell_angle_gamma 90.00
loop_
_space_group_symop_operation_xyz
'x,y,z'
loop_
_atom_site_label
_atom_site_type_symbol
_atom_site_fract_x
_atom_site_fract_y
_atom_site_fract_z
Ru1 Ru 0.500 0.500 0.000
Rh1 Rh 0.000 0.000 0.772
Rh2 Rh 0.000 0.000 0.228
Cd1 Cd 0.500 0.500 0.500